Computed, not measured: a relaxed structure of Tb7Y2Pu at the PBE level of DFT.

Computed properties:
Energy of formation in meV/atom: 140
Magnetization in μB per formula unit: 7.3

a b c (Å): 3.475 15.090 15.090
angles (deg): 156.41 90.08 90.08
Each line ends with the local moment (μB).
Sites, in units of the cell vectors:
Tb1 0.260 0.342 0.145  0.11
Tb2 0.740 0.855 0.658  0.11
Tb3 0.260 0.145 0.342  0.11
Tb4 0.740 0.658 0.855  0.11
Tb5 0.000 0.309 0.691  0.02
Tb6 0.500 0.500 0.500  0.32
Tb7 0.000 0.691 0.309  0.02
Y1 0.500 0.793 0.207  0.03
Y2 0.500 0.207 0.793  0.03
Pu1 0.000 0.000 0.000  5.66

=====

Computed, not measured: a relaxed structure of La2TbCu at the PBE level of DFT.

Computed properties:
Energy of formation in meV/atom: 232
Magnetization in μB per formula unit: 0.0
Polymorph energy (0 for the lowest one) in meV/atom: 297

a b c (Å): 3.572 3.572 11.250
angles (deg): 80.86 80.86 60.00
Sites, in units of the cell vectors:
La1 0.102 0.102 0.695
La2 0.898 0.898 0.305
Cu1 0.500 0.500 0.500
Tb1 0.000 0.000 0.000

=====

Computed values of D(E_F) (unit: states/eV per cell) for the preceding records, in sequence: 20.39 6.62.